[1]
# Tl3Te2 SCAN single point on PBEsol structure
# **E_form (uncorrected)**: -0.21 eV per atom
# **Crystal system**: trigonal
data_Tl3Te2
_chemical_formula_sum 'Tl3 Te2'
_cell_length_a 5.349
_cell_length_b 5.349
_cell_length_c 6.872
_cell_angle_alpha 90.00
_cell_angle_beta 90.00
_cell_angle_gamma 120.00
_symmetry_space_group_name_H-M 'P 1'
_symmetry_Int_Tables_number 1
loop_
_symmetry_equiv_pos_as_xyz
'x,y,z'
loop_
_atom_site_label
_atom_site_type_symbol
_atom_site_fract_x
_atom_site_fract_y
_atom_site_fract_z
Tl1 Tl 0.000 0.000 0.000
Tl2 Tl 0.333 0.667 0.316
Tl3 Tl 0.667 0.333 0.684
Te1 Te 0.333 0.667 0.780
Te2 Te 0.667 0.333 0.220


[2]
# LiPb SCAN single point on PBEsol structure
# **ΔE_f**: -0.6 eV/f.u.
# **Crystal system**: monoclinic
data_LiPb
_chemical_formula_sum 'Li3 Pb3'
_cell_length_a 5.543
_cell_length_b 5.543
_cell_length_c 6.673
_cell_angle_alpha 109.25
_cell_angle_beta 109.25
_cell_angle_gamma 46.31
_symmetry_space_group_name_H-M 'P 1'
_symmetry_Int_Tables_number 1
loop_
_symmetry_equiv_pos_as_xyz
'x,y,z'
loop_
_atom_site_label
_atom_site_type_symbol
_atom_site_fract_x
_atom_site_fract_y
_atom_site_fract_z
Li1 Li 0.000 0.000 0.000
Li2 Li 0.003 0.003 0.504
Li3 Li 0.326 0.326 0.177
Pb1 Pb 0.340 0.340 0.668
Pb2 Pb 0.653 0.653 0.323
Pb3 Pb 0.676 0.676 0.854


[3]
# NiAs2I SCAN single point on PBEsol structure
# **E_form (uncorrected)**: 0.99 eV per atom
# **Crystal system**: cubic
data_NiAs2I
_chemical_formula_sum 'Ni1 As2 I1'
_cell_length_a 4.736
_cell_length_b 4.736
_cell_length_c 4.736
_cell_angle_alpha 60.00
_cell_angle_beta 60.00
_cell_angle_gamma 60.00
_symmetry_space_group_name_H-M 'P 1'
_symmetry_Int_Tables_number 1
loop_
_symmetry_equiv_pos_as_xyz
'x,y,z'
loop_
_atom_site_label
_atom_site_type_symbol
_atom_site_fract_x
_atom_site_fract_y
_atom_site_fract_z
Ni1 Ni 0.000 0.000 0.000
As1 As 0.250 0.250 0.250
As2 As 0.750 0.750 0.750
I1 I 0.500 0.500 0.500


[4]
# HfNiPS2 SCAN single point on PBEsol structure
# **E_form (uncorrected)**: 0.19 eV per atom
# **Relative energy among the computed polymorphs**: 175 meV per atom
# **Crystal system**: tetragonal
data_HfNiPS2
_chemical_formula_sum 'Hf1 Ni1 P1 S2'
_cell_length_a 4.795
_cell_length_b 4.795
_cell_length_c 4.968
_cell_angle_alpha 90.00
_cell_angle_beta 90.00
_cell_angle_gamma 90.00
_symmetry_space_group_name_H-M 'P 1'
_symmetry_Int_Tables_number 1
loop_
_symmetry_equiv_pos_as_xyz
'x,y,z'
loop_
_atom_site_label
_atom_site_type_symbol
_atom_site_fract_x
_atom_site_fract_y
_atom_site_fract_z
Hf1 Hf 0.000 0.000 0.000
Ni1 Ni 0.500 0.500 0.500
P1 P 0.000 0.000 0.500
S1 S 0.000 0.500 0.000
S2 S 0.500 0.000 0.000


[5]
# KBaCr2 SCAN single point on PBEsol structure
# **Relative energy among the computed polymorphs**: 0 meV per atom
# **ΔE_f**: 3.0 eV/f.u.
# **Crystal system**: cubic
data_KBaCr2
_chemical_formula_sum 'K1 Ba1 Cr2'
_cell_length_a 5.642
_cell_length_b 5.642
_cell_length_c 5.642
_cell_angle_alpha 60.00
_cell_angle_beta 60.00
_cell_angle_gamma 60.00
_symmetry_space_group_name_H-M 'P 1'
_symmetry_Int_Tables_number 1
loop_
_symmetry_equiv_pos_as_xyz
'x,y,z'
loop_
_atom_site_label
_atom_site_type_symbol
_atom_site_fract_x
_atom_site_fract_y
_atom_site_fract_z
K1 K 0.000 0.000 0.000
Ba1 Ba 0.250 0.250 0.250
Cr1 Cr 0.500 0.500 0.500
Cr2 Cr 0.750 0.750 0.750


[6]
# Li5VCr3O8 SCAN single point on PBEsol structure
# **E_form (uncorrected)**: -2.35 eV per atom
# **Relative energy among the computed polymorphs**: 0 meV per atom
# **Crystal system**: hexagonal
data_Li5VCr3O8
_chemical_formula_sum 'Li10 V2 Cr6 O16'
_cell_length_a 5.858
_cell_length_b 5.858
_cell_length_c 9.671
_cell_angle_alpha 90.00
_cell_angle_beta 90.00
_cell_angle_gamma 120.00
_symmetry_space_group_name_H-M 'P 1'
_symmetry_Int_Tables_number 1
loop_
_symmetry_equiv_pos_as_xyz
'x,y,z'
loop_
_atom_site_label
_atom_site_type_symbol
_atom_site_fract_x
_atom_site_fract_y
_atom_site_fract_z
Li1 Li 0.000 0.000 0.000
Li2 Li 0.000 0.000 0.500
Li3 Li 0.195 0.390 0.427
Li4 Li 0.195 0.805 0.427
Li5 Li 0.333 0.667 0.212
Li6 Li 0.390 0.195 0.927
Li7 Li 0.610 0.805 0.427
Li8 Li 0.667 0.333 0.712
Li9 Li 0.805 0.195 0.927
Li10 Li 0.805 0.610 0.927
V1 V 0.333 0.667 0.960
V2 V 0.667 0.333 0.460
Cr1 Cr 0.168 0.336 0.698
Cr2 Cr 0.168 0.832 0.698
Cr3 Cr 0.336 0.168 0.198
Cr4 Cr 0.664 0.832 0.698
Cr5 Cr 0.832 0.168 0.198
Cr6 Cr 0.832 0.664 0.198
O1 O 0.000 0.000 0.309
O2 O 0.000 0.000 0.809
O3 O 0.020 0.510 0.818
O4 O 0.163 0.326 0.080
O5 O 0.163 0.837 0.080
O6 O 0.326 0.163 0.580
O7 O 0.333 0.667 0.583
O8 O 0.490 0.510 0.818
O9 O 0.490 0.980 0.818
O10 O 0.510 0.020 0.318
O11 O 0.510 0.490 0.318
O12 O 0.667 0.333 0.083
O13 O 0.674 0.837 0.080
O14 O 0.837 0.163 0.580
O15 O 0.837 0.674 0.580
O16 O 0.980 0.490 0.318


[7]
# Ho4C7 SCAN single point on PBEsol structure
# **ΔE_f**: -3.8 eV/f.u.
# **Crystal system**: monoclinic
data_Ho4C7
_chemical_formula_sum 'Ho16 C28'
_cell_length_a 3.704
_cell_length_b 12.705
_cell_length_c 13.863
_cell_angle_alpha 90.00
_cell_angle_beta 92.19
_cell_angle_gamma 90.00
_symmetry_space_group_name_H-M 'P 1'
_symmetry_Int_Tables_number 1
loop_
_symmetry_equiv_pos_as_xyz
'x,y,z'
loop_
_atom_site_label
_atom_site_type_symbol
_atom_site_fract_x
_atom_site_fract_y
_atom_site_fract_z
Ho1 Ho 0.220 0.190 0.290
Ho2 Ho 0.220 0.310 0.790
Ho3 Ho 0.246 0.522 0.612
Ho4 Ho 0.246 0.978 0.112
Ho5 Ho 0.253 0.721 0.004
Ho6 Ho 0.253 0.779 0.504
Ho7 Ho 0.265 0.021 0.608
Ho8 Ho 0.265 0.479 0.108
Ho9 Ho 0.735 0.521 0.892
Ho10 Ho 0.735 0.979 0.392
Ho11 Ho 0.747 0.221 0.496
Ho12 Ho 0.747 0.279 0.996
Ho13 Ho 0.754 0.022 0.888
Ho14 Ho 0.754 0.478 0.388
Ho15 Ho 0.780 0.690 0.210
Ho16 Ho 0.780 0.810 0.710
C1 C 0.223 0.646 0.842
C2 C 0.223 0.854 0.342
C3 C 0.238 0.111 0.445
C4 C 0.238 0.389 0.945
C5 C 0.250 0.589 0.455
C6 C 0.250 0.911 0.955
C7 C 0.259 0.596 0.360
C8 C 0.259 0.904 0.860
C9 C 0.261 0.667 0.751
C10 C 0.261 0.833 0.251
C11 C 0.280 0.699 0.659
C12 C 0.280 0.801 0.159
C13 C 0.286 0.571 0.267
C14 C 0.286 0.929 0.767
C15 C 0.714 0.071 0.233
C16 C 0.714 0.429 0.733
C17 C 0.720 0.199 0.841
C18 C 0.720 0.301 0.341
C19 C 0.739 0.167 0.749
C20 C 0.739 0.333 0.249
C21 C 0.741 0.096 0.140
C22 C 0.741 0.404 0.640
C23 C 0.750 0.089 0.045
C24 C 0.750 0.411 0.545
C25 C 0.762 0.611 0.055
C26 C 0.762 0.889 0.555
C27 C 0.777 0.146 0.658
C28 C 0.777 0.354 0.158


[8]
# NaSc2TeOs SCAN single point on PBEsol structure
# **E_form (uncorrected)**: 0.65 eV per atom
# **Crystal system**: tetragonal
data_NaSc2TeOs
_chemical_formula_sum 'Na1 Sc2 Te1 Os1'
_cell_length_a 5.310
_cell_length_b 5.310
_cell_length_c 4.833
_cell_angle_alpha 90.00
_cell_angle_beta 90.00
_cell_angle_gamma 90.00
_symmetry_space_group_name_H-M 'P 1'
_symmetry_Int_Tables_number 1
loop_
_symmetry_equiv_pos_as_xyz
'x,y,z'
loop_
_atom_site_label
_atom_site_type_symbol
_atom_site_fract_x
_atom_site_fract_y
_atom_site_fract_z
Na1 Na 0.000 0.000 0.000
Sc1 Sc 0.000 0.500 0.500
Sc2 Sc 0.500 0.000 0.500
Te1 Te 0.500 0.500 0.500
Os1 Os 0.500 0.500 0.000


[9]
# Sc2CdSb SCAN single point on PBEsol structure
# **E_form (uncorrected)**: -0.55 eV per atom
# **Relative energy among the computed polymorphs**: 62 meV per atom
# **Crystal system**: orthorhombic
data_Sc2CdSb
_chemical_formula_sum 'Sc2 Cd1 Sb1'
_cell_length_a 5.248
_cell_length_b 5.248
_cell_length_c 3.193
_cell_angle_alpha 90.00
_cell_angle_beta 90.00
_cell_angle_gamma 104.35
_symmetry_space_group_name_H-M 'P 1'
_symmetry_Int_Tables_number 1
loop_
_symmetry_equiv_pos_as_xyz
'x,y,z'
loop_
_atom_site_label
_atom_site_type_symbol
_atom_site_fract_x
_atom_site_fract_y
_atom_site_fract_z
Sc1 Sc 0.000 0.500 0.000
Sc2 Sc 0.500 0.000 0.000
Cd1 Cd 0.000 0.000 0.500
Sb1 Sb 0.500 0.500 0.500


[10]
# TeRhSe2 SCAN single point on PBEsol structure
# **E_form (uncorrected)**: 0.47 eV per atom
# **Crystal system**: tetragonal
data_TeRhSe2
_chemical_formula_sum 'Te1 Rh1 Se2'
_cell_length_a 4.663
_cell_length_b 4.663
_cell_length_c 4.663
_cell_angle_alpha 117.02
_cell_angle_beta 117.02
_cell_angle_gamma 95.24
_symmetry_space_group_name_H-M 'P 1'
_symmetry_Int_Tables_number 1
loop_
_symmetry_equiv_pos_as_xyz
'x,y,z'
loop_
_atom_site_label
_atom_site_type_symbol
_atom_site_fract_x
_atom_site_fract_y
_atom_site_fract_z
Te1 Te 0.000 0.000 0.000
Rh1 Rh 0.750 0.250 0.500
Se1 Se 0.250 0.750 0.500
Se2 Se 0.500 0.500 0.000


Number 9 is which compound?
Sc2CdSb